This record from Alexandria describes a relaxed FeSF2 crystal. The functional is PBE+U.

a = 5.841 Å, b = 5.841 Å, c = 5.841 Å
α = 90.00°, β = 90.00°, γ = 90.00°
Space group Fm-3m (No. 225)
Unique sites:
Fe (0.000, 0.000, 0.000)
S (0.000, 0.000, 0.500)
F (0.250, 0.250, 0.250)

Results
Magnetic moment, μB/atom: 0.95
ρ, g/cm³: 4.2
Raw total energy, eV/cell: -60.3
N(E_F), states/eV/atom: 0.904
Volume, Å³/atom: 12.45